*i*
9
Lattice="-3.6872 -4.9687 -1.9496 1.6969 -2.8145 4.0010 -2.5351 0.1252 4.5129" Properties=species:S:1:pos:R:3 comment="Mg2Zn6Ru (GGA-PBE, optimized geometry)" volume_a3_per_atom=16.74 rho_g_cm3=6.0 pbc="T T T"
Mg -3.9721 -6.3924 3.8707
Mg -0.5533 -1.2656 2.6935
Zn -2.7243 -2.4506 4.4750
Zn -1.8847 -3.8366 6.4512
Zn -0.6358 -3.9013 4.2224
Zn -1.8012 -5.2074 2.0892
Zn -2.6408 -3.8214 0.1131
Zn -3.8896 -3.7568 2.3419
Ru 0.0000 0.0000 0.0000

*ii*
9
Lattice="-2.5902 -2.4726 3.7618 4.7149 -1.6677 -1.4350 3.8815 2.8609 4.5529" Properties=species:S:1:pos:R:3 comment="Mg2Zn6Ru (GGA-PBE, optimized geometry)" volume_a3_per_atom=16.78 rho_g_cm3=6.0 pbc="T T T"
Mg 0.0431 -1.9149 2.3563
Mg 5.9631 0.6355 4.5235
Zn 1.6383 -0.7354 6.0200
Zn 3.9956 -1.5237 5.3349
Zn 2.9315 0.4991 4.1417
Zn 4.3679 -0.5440 0.8598
Zn 2.0105 0.2443 1.5449
Zn 3.0746 -1.7786 2.7381
Ru 0.0000 0.0000 0.0000

Most stable of them? *ii*.

*i*
3
Lattice="4.5117 0.0000 0.0000 2.2558 3.9072 0.0000 2.2558 1.3024 3.6838" Properties=species:S:1:pos:R:3 comment="MgZrRu (GGA-PBE, optimized geometry)" volume_a3_per_atom=21.65 rho_g_cm3=5.5 pbc="T T T"
Mg 0.0000 0.0000 0.0000
Ru 4.5117 2.6048 1.8419
Zr 6.7675 3.9072 2.7628

*ii*
3
Lattice="-2.5022 -2.7191 -2.5030 1.8556 -2.2773 -3.3602 0.5104 -4.4227 0.3151" Properties=species:S:1:pos:R:3 comment="MgZrRu (GGA-PBE, optimized geometry)" volume_a3_per_atom=20.96 rho_g_cm3=5.7 pbc="T T T"
Mg -0.0681 -4.7096 -2.7741
Ru -0.1022 -7.0643 -4.1611
Zr 0.0000 0.0000 0.0000

Most stable of them? *ii*.

*i*
12
Lattice="-3.9400 -0.5274 -2.1557 -2.3423 -2.9979 5.0146 -2.8251 7.6951 3.2808" Properties=species:S:1:pos:R:3 comment="MgZrRu (GGA-PBE, optimized geometry)" volume_a3_per_atom=20.94 rho_g_cm3=5.7 pbc="T T T"
Mg -3.3320 0.2882 -1.0950
Mg -3.3631 1.3137 3.4540
Mg -5.7755 3.8816 7.2347
Mg -5.7443 2.8561 2.6857
Ru -5.8709 0.1353 3.5828
Ru -2.0128 -0.0548 1.3208
Ru -3.2365 4.0345 2.5569
Ru -7.0946 4.2246 4.8189
Zr -4.5960 -0.9378 1.5151
Zr -2.0891 2.5525 0.8222
Zr -4.5115 5.1076 4.6246
Zr -7.0184 1.6173 5.3175

*ii*
3
Lattice="3.2110 0.0000 0.0000 -1.6055 2.7808 0.0000 0.0000 0.0000 6.6504" Properties=species:S:1:pos:R:3 comment="MgZrRu (GGA-PBE, optimized geometry)" volume_a3_per_atom=19.79 rho_g_cm3=6.1 pbc="T T T"
Mg 0.0000 0.0000 0.1983
Ru 0.0000 1.8539 2.2980
Zr 1.6055 0.9269 4.1540

Most stable of them? *i*.

*i*
3
Lattice="4.5189 0.0000 0.0000 -2.2595 3.9135 0.0000 0.0000 0.0000 3.0756" Properties=species:S:1:pos:R:3 comment="MgZrRu (GGA-PBE, optimized geometry)" volume_a3_per_atom=18.13 rho_g_cm3=6.6 pbc="T T T"
Mg 0.0000 0.0000 0.1565
Ru 2.2595 1.3045 1.0291
Zr 0.0000 2.6090 1.8900

*ii*
3
Lattice="5.6981 -0.0058 0.0064 4.7349 3.1700 0.0116 0.9632 0.2867 3.1628" Properties=species:S:1:pos:R:3 comment="MgZrRu (GGA-PBE, optimized geometry)" volume_a3_per_atom=19.06 rho_g_cm3=6.3 pbc="T T T"
Mg 10.2574 3.1108 0.0763
Ru 4.0353 1.2202 2.1426
Zr 7.5365 2.2840 0.9799

Most stable of them? *ii*.

*i*
5
Lattice="3.5688 0.0000 0.0000 0.0000 3.5688 0.0000 1.7844 1.7844 8.3574" Properties=species:S:1:pos:R:3 comment="Mg2Zr2Ru (GGA-PBE, optimized geometry)" volume_a3_per_atom=21.29 rho_g_cm3=5.2 pbc="T T T"
Ru 0.0000 0.0000 0.0000
Mg 3.5688 1.7844 4.1787
Mg 1.7844 3.5688 4.1787
Zr 1.7844 1.7844 1.4566
Zr 3.5688 3.5688 6.9008

*ii*
10
Lattice="-0.9654 -2.9101 5.9147 6.2504 1.4947 1.7556 -1.6138 4.4731 1.9374" Properties=species:S:1:pos:R:3 comment="Mg2Zr2Ru (GGA-PBE, optimized geometry)" volume_a3_per_atom=22.79 rho_g_cm3=4.8 pbc="T T T"
Ru 0.0000 0.0000 0.0000
Ru 2.6425 -0.7077 3.8352
Mg 3.1751 2.7544 3.0900
Mg 3.7910 1.5621 6.3559
Mg 0.4961 0.3033 6.5177
Mg -0.1198 1.4956 3.2518
Zr 4.9451 0.2599 3.5191
Zr 3.2829 -1.4772 6.1452
Zr 0.3399 -1.6753 4.1512
Zr 2.0021 0.0618 1.5252

Most stable of them? *ii*.

*i*
5
Lattice="4.8959 0.0000 0.0000 0.0000 4.8959 0.0000 0.0000 0.0000 4.8959" Properties=species:S:1:pos:R:3 comment="Mg3SbS (GGA-PBE, optimized geometry)" volume_a3_per_atom=23.47 rho_g_cm3=3.2 pbc="T T T"
Sb 2.4480 2.4480 2.4480
S 0.0000 0.0000 0.0000
Mg 0.0000 2.4480 0.0000
Mg 0.0000 0.0000 2.4480
Mg 2.4480 0.0000 0.0000

*ii*
5
Lattice="5.3574 0.0000 0.0000 0.0000 5.3574 0.0000 0.0000 0.0000 5.3574" Properties=species:S:1:pos:R:3 comment="Mg3SbS (GGA-PBE, optimized geometry)" volume_a3_per_atom=30.75 rho_g_cm3=2.4 pbc="T T T"
Sb 0.0000 0.0000 0.0000
S 2.6787 2.6787 2.6787
Mg 0.0000 2.6787 0.0000
Mg 0.0000 0.0000 2.6787
Mg 2.6787 0.0000 0.0000

Most stable of them? *i*.

*i*
14
Lattice="3.5888 0.0000 0.0000 -1.7944 6.1745 0.0000 0.0000 0.0000 12.7076" Properties=species:S:1:pos:R:3 comment="Mg2SbS4 (GGA-PBE, optimized geometry)" volume_a3_per_atom=20.11 rho_g_cm3=3.5 pbc="T T T"
Mg 0.0000 1.5236 5.5550
Mg 1.7944 4.6509 11.9088
Mg 0.0000 1.5236 0.7989
Mg 1.7944 4.6509 7.1527
Sb 1.7944 1.5237 9.5307
Sb 0.0000 4.6508 3.1769
S 1.7944 3.3881 1.4685
S 1.7944 3.3881 4.8853
S 0.0000 2.7864 11.2392
S 0.0000 2.7864 7.8223
S 1.7944 5.7545 9.5307
S 0.0000 0.4200 3.1769
S 1.7944 0.0000 0.0000
S 1.7944 0.0000 6.3538

*ii*
14
Lattice="6.2871 0.0000 -2.7201 -1.1769 6.1760 -2.7201 -0.2860 -0.3456 7.9649" Properties=species:S:1:pos:R:3 comment="Mg2SbS4 (GGA-PBE, optimized geometry)" volume_a3_per_atom=21.25 rho_g_cm3=3.3 pbc="T T T"
Mg 1.9961 0.5128 4.6136
Mg 1.4076 3.6008 3.2535
Mg 1.5506 3.7736 -0.7289
Mg 4.6942 3.7736 -2.0890
Sb 4.2781 1.3712 1.2623
Sb 0.0000 0.0000 0.0000
S 2.0852 -0.0452 2.1714
S 3.3796 5.3182 -3.4627
S 2.9439 3.7905 1.3548
S 4.2047 1.5150 4.2688
S 4.8977 5.6865 -0.4819
S -0.1287 3.4111 5.1522
S -0.2783 2.2289 2.0049
S 2.1929 1.4164 -0.9091

Most stable of them? *i*.

*i*
4
Lattice="2.0570 0.0000 9.5494 -1.0285 1.7814 9.5494 -1.0285 -1.7814 9.5494" Properties=species:S:1:pos:R:3 comment="MgSc2S (GGA-PBE, optimized geometry)" volume_a3_per_atom=26.24 rho_g_cm3=2.3 pbc="T T T"
Sc 0.0000 0.0000 26.3302
Sc 0.0000 0.0000 2.3180
S 0.0000 0.0000 0.0000
Mg 0.0000 0.0000 14.3241

*ii*
4
Lattice="0.0288 -0.5393 -3.4847 1.3937 -2.9587 -1.3185 -7.6140 -2.4310 2.0825" Properties=species:S:1:pos:R:3 comment="MgSc2S (GGA-PBE, optimized geometry)" volume_a3_per_atom=21.55 rho_g_cm3=2.8 pbc="T T T"
Mg -5.2926 -4.2873 -1.4535
Sc -0.3830 -1.8131 -1.7838
Sc -2.5904 -4.3296 -3.2035
S -2.1979 -1.3224 -0.0920

Most stable of them? *ii*.

*i*
4
Lattice="0.0000 3.4201 3.4201 3.4201 0.0000 3.4201 3.4201 3.4201 0.0000" Properties=species:S:1:pos:R:3 comment="MgSc2S (GGA-PBE, optimized geometry)" volume_a3_per_atom=20.00 rho_g_cm3=3.0 pbc="T T T"
Sc 1.7100 1.7100 1.7100
Sc 5.1301 5.1301 5.1301
S 3.4201 3.4201 3.4201
Mg 0.0000 0.0000 0.0000

*ii*
8
Lattice="-4.5154 5.1002 -3.4671 -4.0701 -5.6929 -3.0735 -6.1574 -0.2841 -0.8238" Properties=species:S:1:pos:R:3 comment="MgSc2S (GGA-PBE, optimized geometry)" volume_a3_per_atom=22.46 rho_g_cm3=2.7 pbc="T T T"
Sc -5.1438 2.7139 -2.9671
Sc -4.3741 -3.3005 -2.3503
Sc -7.5911 -0.0905 -2.8844
Sc -12.3770 -1.0766 -6.5272
S 0.0000 0.0000 0.0000
S -7.4828 2.2599 -3.7807
Mg -4.2928 -0.2964 -3.2703
Mg -7.2602 -3.1367 -3.5838

*iii*
4
Lattice="2.0038 0.0000 9.1538 -1.0019 1.7354 9.1538 -1.0019 -1.7354 9.1538" Properties=species:S:1:pos:R:3 comment="MgSc2S (GGA-PBE, optimized geometry)" volume_a3_per_atom=23.87 rho_g_cm3=2.5 pbc="T T T"
Sc 0.0000 0.0000 24.3891
Sc 0.0000 0.0000 3.0722
S 0.0000 0.0000 13.7306
Mg 0.0000 0.0000 0.0000

*iv*
4
Lattice="3.5245 0.0000 0.0000 1.7623 3.0523 0.0000 1.7623 1.0174 8.1402" Properties=species:S:1:pos:R:3 comment="MgSc2S (GGA-PBE, optimized geometry)" volume_a3_per_atom=21.89 rho_g_cm3=2.8 pbc="T T T"
Mg 3.5245 2.0349 4.0772
Sc 1.7623 1.0174 6.6487
Sc 1.7623 1.0174 1.4943
S 5.2868 3.0523 8.1301

Most stable of them? *iv*.

*i*
5
Lattice="4.8827 0.0000 0.0000 0.0000 4.8827 0.0000 0.0000 0.0000 4.8827" Properties=species:S:1:pos:R:3 comment="MgSc3S (GGA-PBE, optimized geometry)" volume_a3_per_atom=23.28 rho_g_cm3=2.7 pbc="T T T"
Sc 0.0000 2.4413 0.0000
Sc 0.0000 0.0000 2.4413
Sc 2.4413 0.0000 0.0000
S 0.0000 0.0000 0.0000
Mg 2.4413 2.4413 2.4413

*ii*
5
Lattice="-2.2682 3.6403 2.8677 -2.3959 -3.6542 2.7435 3.9667 -0.1256 3.2969" Properties=species:S:1:pos:R:3 comment="MgSc3S (GGA-PBE, optimized geometry)" volume_a3_per_atom=27.47 rho_g_cm3=2.3 pbc="T T T"
Sc -1.1980 -1.8271 1.3718
Sc 1.9834 -0.0628 1.6485
Sc -1.1341 1.8201 1.4339
S -0.3487 -0.0697 4.4541
Mg 0.0000 0.0000 0.0000

Most stable of them? *i*.

*i*
28
Lattice="-4.4224 4.5271 -0.1339 -0.6443 -0.8474 -7.3724 -9.0852 -8.8216 1.8080" Properties=species:S:1:pos:R:3 comment="MgSc2S4 (GGA-PBE, optimized geometry)" volume_a3_per_atom=21.54 rho_g_cm3=2.7 pbc="T T T"
Mg -5.1183 3.1032 -1.7909
Mg -9.0336 -8.2451 -3.9073
Mg -6.0076 -2.2817 -4.8572
Mg -8.1443 -2.8601 -0.8410
Sc -2.2112 2.2636 -0.0669
Sc -4.5426 -4.4108 0.9040
Sc -4.8648 -4.8345 -2.7822
Sc -2.5334 1.8398 -3.7531
Sc -7.0294 1.8077 -5.2380
Sc -7.1226 -6.9496 -0.4602
Sc -4.7694 -0.2976 -1.4305
Sc -9.3826 -4.8443 -4.2677
S -5.4177 0.9292 -7.1438
S -8.7342 -6.0710 1.4456
S -3.9862 -1.8706 0.5478
S -10.1657 -3.2713 -6.2460
S -9.8462 -2.8511 -2.5904
S -4.3057 -2.2908 -3.1078
S -9.0537 -6.4913 -2.2100
S -5.0982 1.3494 -3.4882
S -2.2790 -0.1681 -5.4261
S -11.8729 -4.9738 -0.2721
S -7.3362 -0.5570 -1.1763
S -6.8157 -4.5848 -4.5219
S -2.2869 0.3503 -1.7219
S -11.8650 -5.4922 -3.9763
S -7.7446 -0.6492 -4.8931
S -6.4073 -4.4926 -0.8051

*ii*
28
Lattice="-7.0765 1.4765 -0.8932 -1.6458 -5.6873 3.6375 0.0634 5.9347 9.3075" Properties=species:S:1:pos:R:3 comment="MgSc2S4 (GGA-PBE, optimized geometry)" volume_a3_per_atom=19.95 rho_g_cm3=2.9 pbc="T T T"
Mg -1.9541 1.3637 2.8860
Mg -6.7048 0.3602 9.1658
Mg -5.8773 3.6292 8.0142
Mg -2.7815 -1.9053 4.0376
Sc -5.4685 2.3528 2.6648
Sc -3.1904 -0.6289 9.3870
Sc -2.3592 2.9897 8.7836
Sc -6.2996 -1.2657 3.2683
Sc -1.7923 0.2939 -0.1639
Sc -6.8666 1.4300 12.2157
Sc -6.0753 1.3166 5.7593
Sc -2.5836 0.4074 6.2926
S -3.7261 5.1179 7.7537
S -4.9328 -3.3940 4.2982
S -4.0985 0.5127 4.1466
S -4.5604 1.2113 7.9052
S -7.9729 1.9233 7.4745
S -0.6860 -0.1994 4.5774
S -1.5202 -4.1061 4.7289
S -7.1387 5.8300 7.3229
S -3.1359 -1.8711 6.9016
S -5.5230 3.5951 5.1503
S -6.3225 2.9401 10.4016
S -2.3364 -1.2162 1.6503
S -5.7664 0.1573 1.3958
S -2.8925 1.5666 10.6560
S -2.0872 2.7637 6.2549
S -6.5717 -1.0397 5.7969

Most stable of them? *i*.